Computed, not measured: BeAs2RuBr at its PBEsol-relaxed geometry at the SCAN level of DFT.

```
BeAs2RuBr
1.0
4.2706 0.0000 0.0000
0.0000 4.2706 0.0000
0.0000 0.0000 4.6351
Be As Ru Br
1 2 1 1
Direct
0.0000 0.0000 0.0000
0.0000 0.5000 0.0000
0.5000 0.0000 0.0000
0.5000 0.5000 0.5000
0.0000 0.0000 0.5000
```

## Properties
The uncorrected energy comes out at -94.11 eV per formula unit. Its space group is P4/mmm (123). Its volume is 84.53 Å³/cell. The magnetization comes out at 0.00 Bohr magnetons per cell.